Entry 1:
Li8SmCd4 after structural relaxation, computed with GGA-PBE.

Cell: 9.6341 9.6341 5.7555 Å, 90.00 90.00 90.00°
With the nearest neighbours (Å) after each atom.
Space group I4/mmm (No. 139)
Unique sites:
Li (0.0000, 0.2149, 0.0000) x8  4 Cd 2.83, 6 Li 2.93-3.15
Li (0.0000, 0.3488, 0.5000) x8  5 Li 2.91-3.15, 4 Cd 2.96
Sm (0.0000, 0.0000, 0.5000) x2  12 Li 3.36-3.54, 8 Cd 3.70
Cd (0.2500, 0.2500, 0.2500) x8  8 Li 2.83-2.96, 2 Cd 2.88

Crystal system   tetragonal
Electronic total energy   -1.98 eV per atom
Density of states at the Fermi level   5.6 states/eV/f.u.
Magnetization   0.00 μB per formula unit

Entry 2:
LiSmCd4 after structural relaxation, computed with GGA-PBE.

Cell: 8.3096 8.3096 8.3096 Å, 90.00 90.00 90.00°
With the nearest neighbours (Å) after each atom.
Space group F-43m (No. 216)
Unique sites:
Li (0.0000, 0.0000, 0.0000) x4  12 Cd 3.44, 4 Sm 3.60
Sm (0.2500, 0.2500, 0.2500) x4  12 Cd 3.45, 4 Li 3.60
Cd (0.1251, 0.1251, 0.6251) x16  6 Cd 2.93-2.94

Crystal system   cubic
Electronic total energy   -1.89 eV per atom
Density of states at the Fermi level   4.7 states/eV/f.u.
Magnetization   0.00 μB per formula unit

Entry 3:
LiSm4Cd3 after structural relaxation, computed with GGA-PBE.

Cell: 5.3762 5.3762 26.3503 Å, 90.00 90.00 120.00°
With the nearest neighbours (Å) after each atom.
Space group R-3m (No. 166, hexagonal axes)
Unique sites:
Li (0.0000, 0.0000, 0.0000) x3  8 Sm 3.29
Sm (0.0000, 0.0000, 0.1248) x6  1 Li 3.29, 7 Cd 3.29-3.35
Sm (0.0000, 0.0000, 0.3751) x6  5 Cd 3.24-3.29, 3 Li 3.29
Cd (0.0000, 0.0000, 0.2521) x6  8 Sm 3.24-3.35
Cd (0.0000, 0.0000, 0.5000) x3  8 Sm 3.29

Crystal system   trigonal
Electronic total energy   -3.17 eV per atom
Density of states at the Fermi level   9.5 states/eV/f.u.
Magnetization   0.01 μB per formula unit

Entry 4:
LiSm4Cd2 after structural relaxation, computed with GGA-PBE.

Cell: 8.3571 6.4572 8.4364 Å, 90.00 117.17 90.00°
With the nearest neighbours (Å) after each atom.
Space group P2_1/m (No. 11)
Unique sites:
Li (0.2166, 0.2500, 0.1718) x2  4 Sm 3.01-3.32, 3 Cd 3.07-3.26
Sm (0.0762, 0.0026, 0.7417) x4  3 Sm 3.19-3.46, 4 Cd 3.23-3.51, 1 Li 3.29
Sm (0.4058, 0.2500, 0.6141) x2  4 Cd 3.17-3.37, 1 Li 3.32, 1 Sm 3.48
Sm (0.4864, 0.7500, 0.9355) x2  1 Li 3.01, 1 Cd 3.13
Cd (0.1799, 0.7500, 0.1083) x2  3 Li 3.07-3.26, 1 Cd 3.15, 5 Sm 3.17-3.35
Cd (0.2858, 0.7500, 0.5182) x2  8 Sm 3.13-3.51, 1 Cd 3.15

Crystal system   monoclinic
Electronic total energy   -3.27 eV per atom
Density of states at the Fermi level   7.9 states/eV/f.u.
Magnetization   0.00 μB per formula unit

Entry 5:
Li2Sm3Cd3 after structural relaxation, computed with GGA-PBE.

Cell: 3.8196 5.3365 20.2536 Å, 90.00 90.00 90.00°
With the nearest neighbours (Å) after each atom.
Space group Immm (No. 71)
Unique sites:
Li (0.0000, 0.0000, 0.2398) x4  2 Cd 2.80
Sm (0.0000, 0.0000, 0.0000) x2  8 Cd 3.28-3.39
Sm (0.0000, 0.5000, 0.1288) x4  6 Cd 3.23-3.29, 4 Li 3.28-3.49
Cd (0.0000, 0.0000, 0.5000) x2  8 Sm 3.23-3.28
Cd (0.0000, 0.5000, 0.3617) x4  2 Li 2.80

Crystal system   orthorhombic
Electronic total energy   -2.79 eV per atom
Density of states at the Fermi level   7.4 states/eV/f.u.
Magnetization   0.60 μB per formula unit

Entry 6:
LiSm3Cd12 after structural relaxation, computed with GGA-PBE.

Cell: 4.6143 4.6143 18.0627 Å, 90.00 90.00 90.00°
With the nearest neighbours (Å) after each atom.
Space group P4/mmm (No. 123)
Unique sites:
Li (0.0000, 0.0000, 0.0000) x1  12 Cd 3.05-3.26
Sm (0.0000, 0.0000, 0.2367) x2  12 Cd 3.25-3.32
Sm (0.0000, 0.0000, 0.5000) x1  12 Cd 3.26-3.30
Cd (0.0000, 0.5000, 0.1103) x4  8 Cd 3.05-3.26, 2 Li 3.05, 2 Sm 3.25
Cd (0.0000, 0.5000, 0.3691) x4  8 Cd 3.26-3.34, 4 Sm 3.30-3.32
Cd (0.5000, 0.5000, 0.0000) x1  8 Cd 3.05, 4 Li 3.26
Cd (0.5000, 0.5000, 0.2351) x2  8 Cd 3.23-3.34, 4 Sm 3.26
Cd (0.5000, 0.5000, 0.5000) x1  4 Sm 3.26, 8 Cd 3.30

Crystal system   tetragonal
Electronic total energy   -1.93 eV per atom
Density of states at the Fermi level   9.0 states/eV/f.u.
Magnetization   0.00 μB per formula unit

Entry 7:
Li2Sm2Cd3 after structural relaxation, computed with GGA-PBE.

Cell: 4.0323 23.8799 3.4499 Å, 90.00 90.00 90.00°
With the nearest neighbours (Å) after each atom.
Space group Cmmm (No. 65)
Unique sites:
Li (0.0000, 0.2168, 0.0000) x4  2 Li 2.57
Sm (0.0000, 0.0818, 0.0000) x4  1 Li 3.22, 8 Cd 3.29-3.34, 2 Sm 3.45
Cd (0.0000, 0.3335, 0.5000) x4  4 Li 2.91
Cd (0.0000, 0.5000, 0.5000) x2  8 Sm 3.29, 2 Cd 3.45

Crystal system   orthorhombic
Electronic total energy   -2.51 eV per atom
Density of states at the Fermi level   5.8 states/eV/f.u.
Magnetization   0.00 μB per formula unit

Entry 8:
LiSm2Cd6 after structural relaxation, computed with GGA-PBE.

Cell: 6.6320 6.6320 5.6166 Å, 90.00 90.00 120.00°
With the nearest neighbours (Å) after each atom.
Space group P-3m1 (No. 164)
Unique sites:
Li (0.0000, 0.0000, 0.0000) x1  6 Cd 2.65
Sm (0.3333, 0.6667, 0.8059) x2  12 Cd 3.30-3.37
Cd (0.1777, 0.3553, 0.3007) x6  1 Li 2.65

Crystal system   trigonal
Electronic total energy   -2.11 eV per atom
Density of states at the Fermi level   7.4 states/eV/f.u.
Magnetization   0.00 μB per formula unit

Entry 9:
Li2Sm3Cd4 after structural relaxation, computed with GGA-PBE.

Cell: 9.3599 5.2820 9.1638 Å, 90.00 98.35 90.00°
With the nearest neighbours (Å) after each atom.
Space group C2/m (No. 12)
Unique sites:
Li (0.2222, 0.0000, 0.4015) x4  4 Cd 2.74-3.06
Sm (0.0000, 0.5000, 0.0000) x2  8 Cd 3.20-3.28
Sm (0.1268, 0.0000, 0.7395) x4  7 Cd 3.21-3.46, 4 Li 3.33-3.35
Cd (0.0566, 0.5000, 0.3612) x4  3 Li 2.78-3.06, 1 Cd 2.89
Cd (0.1854, 0.0000, 0.0991) x4  1 Li 2.74

Crystal system   monoclinic
Electronic total energy   -2.65 eV per atom
Density of states at the Fermi level   7.5 states/eV/f.u.
Magnetization   0.00 μB per formula unit

Entry 10:
LiSmCd after structural relaxation, computed with GGA-PBE.

Cell: 3.5349 3.4824 11.8662 Å, 90.00 90.17 90.00°
With the nearest neighbours (Å) after each atom.
Space group P2_1/m (No. 11)
Unique sites:
Li (0.2493, 0.2500, 0.4296) x2  5 Cd 2.90-3.17, 4 Li 2.99
Sm (0.2496, 0.2500, 0.1131) x2  4 Cd 3.35-3.36, 8 Sm 3.48-3.66
Cd (0.2509, 0.2500, 0.6969) x2  5 Li 2.90-3.17

Crystal system   monoclinic
Electronic total energy   -2.69 eV per atom
Density of states at the Fermi level   2.1 states/eV/f.u.
Magnetization   0.00 μB per formula unit

Entry 11:
Li5SmCd7 after structural relaxation, computed with GGA-PBE.

Cell: 5.2611 9.9756 9.9818 Å, 90.00 90.00 90.00°
With the nearest neighbours (Å) after each atom.
Space group Imm2 (No. 44)
Unique sites:
Li (0.0000, 0.0000, 0.0000) x2  4 Li 2.84, 6 Cd 2.89-3.11
Li (0.2484, 0.2498, 0.4723) x8  3 Li 2.61-2.84, 3 Cd 2.81-2.91
Sm (0.0000, 0.5000, 0.7248) x2  10 Cd 3.33-3.49, 2 Li 3.46
Cd (0.0000, 0.0000, 0.4357) x2  4 Li 2.84, 4 Cd 2.97-2.99
Cd (0.0000, 0.1502, 0.7265) x4  5 Li 2.96-3.11, 4 Cd 3.00-3.27
Cd (0.0000, 0.2044, 0.2162) x4  5 Li 2.81-2.97, 3 Cd 2.99-3.01
Cd (0.0000, 0.5000, 0.0739) x2  5 Cd 2.97-3.27, 4 Li 3.00
Cd (0.0000, 0.5000, 0.3807) x2  6 Li 2.89-2.96, 1 Cd 3.06

Crystal system   orthorhombic
Electronic total energy   -1.82 eV per atom
Density of states at the Fermi level   6.6 states/eV/f.u.
Magnetization   0.00 μB per formula unit

Entry 12:
Li3SmCd9 after structural relaxation, computed with GGA-PBE.

Cell: 5.4095 14.1752 7.5695 Å, 90.00 110.87 90.00°
With the nearest neighbours (Å) after each atom.
Space group C2/m (No. 12)
Unique sites:
Li (0.0000, 0.0000, 0.0000) x2  6 Cd 2.70-2.90
Li (0.2500, 0.2500, 0.5000) x4  2 Li 2.70, 8 Cd 2.81-2.96
Sm (0.0000, 0.0000, 0.5000) x2  14 Cd 3.42-3.79, 6 Li 3.78-3.79
Cd (0.0000, 0.5000, 0.0000) x2  2 Li 2.70, 4 Cd 2.93
Cd (0.1110, 0.3906, 0.7085) x8  3 Li 2.81-2.90, 5 Cd 2.93-3.10
Cd (0.1647, 0.1768, 0.8402) x8  3 Li 2.94-3.05, 5 Cd 2.96-3.17

Crystal system   monoclinic
Electronic total energy   -1.67 eV per atom
Density of states at the Fermi level   4.2 states/eV/f.u.
Magnetization   0.00 μB per formula unit